DFT (PBE+U) results for a relaxed MnMoIO2 crystal.

a b c (Å): 3.9971 3.9971 7.0328
angles (deg): 90.00 90.00 90.00
Space group P4/mmm (No. 123)
Inequivalent atoms, fractional coordinates:
1 Mn 0.0000 0.0000 0.0000 (multiplicity 1)
2 Mo 0.5000 0.5000 0.5000 (multiplicity 1)
3 I 0.5000 0.5000 0.0000 (multiplicity 1)
4 O 0.0000 0.5000 0.5000 (multiplicity 2)

Values from the calculation:
The crystal system is tetragonal. The energy is -28.65 eV for the cell shown. The polymorph energy (0 for the lowest one) comes out at 0 meV per atom.